An optimized crystal structure of TiTlCu. Source: the Alexandria database, functional GGA-PBE.

a = 3.0979 Å, b = 6.8611 Å, c = 6.1301 Å
α = 108.19°, β = 104.64°, γ = 63.08°
With the nearest neighbours (Å) after each atom.
Fractional positions:
Cu  0.3800  0.2132  0.4606  2 Cu 2.55-2.56, 2 Ti 2.64
Ti  0.8627  0.7356  0.4700  3 Cu 2.64-2.94, 2 Ti 2.76
Tl  0.7116  0.5694  0.8345  4 Ti 3.02, 4 Tl 3.06-3.10, 4 Cu 3.14
Tl  0.2112  0.0693  0.8344  4 Cu 3.00, 4 Ti 3.03-3.04, 4 Tl 3.06-3.10
Cu  0.0430  0.9252  0.2086  2 Cu 2.55-2.56, 2 Ti 2.64
Ti  0.5600  0.4028  0.1988  3 Cu 2.64-2.94, 2 Ti 2.76

Calculated values
Its total magnetization is 0.00 Bohr magnetons per cell. The total energy is -4.621 eV per atom. The value obtained for the energy of formation is 164 meV/atom.

***

An optimized crystal structure of TiTlCu. Source: the Alexandria database, functional GGA-PBE.

a = 3.1656 Å, b = 6.1613 Å, c = 7.2555 Å
α = 52.33°, β = 102.63°, γ = 90.05°
With the nearest neighbours (Å) after each atom.
Fractional positions:
Ti  0.6426  0.0633  0.3481  4 Cu 2.71-2.75, 2 Ti 2.87, 3 Tl 3.01
Ti  0.3084  0.5752  0.6824  4 Cu 2.71-2.75, 2 Ti 2.87, 3 Tl 3.01
Cu  0.9706  0.1229  0.0067  1 Cu 2.50, 4 Ti 2.71-2.75
Tl  0.3308  0.0292  0.7275  4 Cu 2.86-2.94, 4 Ti 3.01-3.17, 3 Tl 3.17-3.18
Tl  0.6202  0.6093  0.3030  4 Cu 2.86-2.94, 4 Ti 3.01-3.17, 3 Tl 3.17-3.18
Cu  0.9805  0.5157  0.0238  1 Cu 2.50, 4 Ti 2.71-2.75

Calculated values
Its total magnetization is 0.00 Bohr magnetons per cell. The total energy is -4.653 eV per atom. The value obtained for the energy of formation is 133 meV/atom.

***

An optimized crystal structure of TiTlCu. Source: the Alexandria database, functional GGA-PBE.

a = 3.0746 Å, b = 7.2171 Å, c = 5.5963 Å
α = 111.98°, β = 73.93°, γ = 90.11°
With the nearest neighbours (Å) after each atom.
Fractional positions:
Tl  0.9964  0.5748  0.6437  5 Ti 2.94-3.26, 2 Cu 3.01-3.02, 3 Tl 3.07-3.08
Cu  0.0013  0.0577  0.6330  2 Cu 2.53-2.54, 4 Ti 2.64-2.78
Ti  0.3345  0.9342  0.9689  4 Cu 2.69-2.78, 2 Ti 2.81, 2 Tl 2.94
Cu  0.6373  0.1896  0.3644  2 Cu 2.53-2.54, 3 Ti 2.69-2.81
Tl  0.3056  0.3710  0.0229  4 Cu 2.86-3.06, 3 Ti 3.05-3.14, 3 Tl 3.07-3.08
Ti  0.6764  0.7812  0.2825  3 Cu 2.64-2.81, 2 Ti 2.81

Calculated values
Its total magnetization is 0.00 Bohr magnetons per cell. The total energy is -4.617 eV per atom. The value obtained for the energy of formation is 168 meV/atom.

***

An optimized crystal structure of TiTlCu. Source: the Alexandria database, functional GGA-PBE.

a = 4.7056 Å, b = 4.7056 Å, c = 5.6196 Å
α = 90.00°, β = 90.00°, γ = 120.00°
With the nearest neighbours (Å) after each atom.
Fractional positions:
Ti  0.6667  0.3333  0.2500  5 Tl 2.72-2.81
Tl  0.6667  0.3333  0.7500  5 Ti 2.72-2.81
Ti  0.3333  0.6667  0.7500  5 Tl 2.72-2.81
Cu  0.0000  0.0000  0.5000  2 Cu 2.81, 6 Tl 3.06, 6 Ti 3.06
Tl  0.3333  0.6667  0.2500  5 Ti 2.72-2.81
Cu  0.0000  0.0000  0.0000  2 Cu 2.81, 6 Tl 3.06, 6 Ti 3.06

Calculated values
Its total magnetization is 0.00 Bohr magnetons per cell. The total energy is -4.508 eV per atom. The value obtained for the energy of formation is 277 meV/atom.

***

An optimized crystal structure of TiTl3Cu. Source: the Alexandria database, functional GGA-PBE.

a = 5.4298 Å, b = 5.4298 Å, c = 5.4298 Å
α = 90.00°, β = 90.00°, γ = 90.00°
With the nearest neighbours (Å) after each atom.
Fractional positions:
Cu  0.5000  0.5000  0.5000  12 Tl 3.84
Tl  0.0000  0.0000  0.5000  2 Ti 2.71
Tl  0.0000  0.5000  0.0000  2 Ti 2.71
Tl  0.5000  0.0000  0.0000  2 Ti 2.71
Ti  0.0000  0.0000  0.0000  6 Tl 2.71

Calculated values
Its total magnetization is 0.00 Bohr magnetons per cell. The total energy is -2.989 eV per atom. The value obtained for the energy of formation is 829 meV/atom.

***

An optimized crystal structure of Ti2TlCu. Source: the Alexandria database, functional GGA-PBE.

a = 7.3120 Å, b = 7.3120 Å, c = 5.8713 Å
α = 51.49°, β = 51.49°, γ = 90.00°
With the nearest neighbours (Å) after each atom.
Fractional positions:
Cu  0.5000  0.5000  0.0000  4 Ti 2.50, 2 Tl 2.78
Ti  0.3750  0.4113  0.7500  2 Cu 2.50
Tl  0.7500  0.2500  0.5000  2 Cu 2.78, 4 Ti 2.86
Ti  0.8750  0.8387  0.7500  2 Cu 2.50
Ti  0.1613  0.6250  0.2500  2 Cu 2.50
Ti  0.5887  0.1250  0.2500  2 Cu 2.50
Cu  0.2500  0.7500  0.5000  4 Ti 2.50, 2 Tl 2.78
Tl  0.0000  0.0000  0.0000  2 Cu 2.78, 4 Ti 2.86

Calculated values
Its total magnetization is 0.00 Bohr magnetons per cell. The total energy is -5.187 eV per atom. The value obtained for the energy of formation is 377 meV/atom.